An optimized crystal structure of ZrScC, computed with GGA-PBE.

Cell: 10.913 3.363 5.663 Å, 90.00 90.00 90.00°
Fractional positions:
Zr  0.239  0.250  0.095
Zr  0.261  0.750  0.595
Zr  0.739  0.250  0.405
Zr  0.761  0.750  0.905
Sc  0.007  0.250  0.768
Sc  0.493  0.750  0.268
Sc  0.507  0.250  0.732
Sc  0.993  0.750  0.232
C  0.129  0.750  0.922
C  0.371  0.250  0.422
C  0.629  0.750  0.578
C  0.871  0.250  0.078

Computed properties:
Distance to the lowest polymorph of the same formula (meV per atom): 64.8
SG: No. 62
Energy of formation from the pure elements (meV/atom): -464.4
Spin magnetization (μB per atom): 0.0000
DOS(E_F) (states/eV/f.u.): 3.58
E (eV/atom): -8.50